Material: Nd2HfSc
Method: DFT, PBE-GGA
State: relaxed

Values from the calculation:
Calculated volume, Å³/f.u.: 113.03
Total moment, Bohr magnetons per cell: 0.00
Relative energy among the computed polymorphs, kJ per mole of atoms: 1.21

abc: 4.882 4.884 4.741
angles: 90.00 90.00 90.00
Fractional coordinates of all 4 atoms:
Sc 0.500 0.500 0.500
Nd 0.000 0.500 0.000
Nd 0.500 0.000 0.000
Hf 0.000 0.000 0.500

---

Material: NdHfSc2
Method: DFT, PBE-GGA
State: relaxed

Values from the calculation:
Calculated volume, Å³/f.u.: 103.94
Total moment, Bohr magnetons per cell: 0.00
Relative energy among the computed polymorphs, kJ per mole of atoms: 0.36

abc: 3.328 3.328 11.007
angles: 81.31 81.31 60.00
Fractional coordinates of all 4 atoms:
Nd 0.501 0.501 0.497
Sc 0.257 0.257 0.230
Sc 0.076 0.076 0.772
Hf 0.666 0.666 0.001

---

no.,DOS(E_F) (states/eV/f.u.)
1,5.13
2,6.77